Compound: BaSr2Zn2
Source: Alexandria
Functional: PBE-GGA
Structure: relaxed

Cell lengths 9.4771, 9.4771, 3.8110 Å; angles 90.00, 90.00, 90.00 degrees
With the nearest neighbours (Å) after each atom.
Fractional coordinates of all 10 atoms:
Ba1 0.0000 0.0000 0.0000  4 Sr 3.70, 2 Ba 3.81, 8 Zn 4.03
Ba2 0.5000 0.5000 0.0000  4 Sr 3.70, 2 Ba 3.81, 8 Zn 4.03
Sr1 0.1333 0.3667 0.0000  6 Zn 3.34-3.40, 1 Sr 3.57, 2 Ba 3.70
Sr2 0.3667 0.8667 0.0000  6 Zn 3.34-3.40, 1 Sr 3.57, 2 Ba 3.70
Sr3 0.6333 0.1333 0.0000  6 Zn 3.34-3.40, 1 Sr 3.57, 2 Ba 3.70
Sr4 0.8667 0.6333 0.0000  6 Zn 3.34-3.40, 1 Sr 3.57, 2 Ba 3.70
Zn1 0.1622 0.6622 0.5000  6 Sr 3.34-3.40
Zn2 0.3378 0.1622 0.5000  6 Sr 3.34-3.40
Zn3 0.6622 0.8378 0.5000  6 Sr 3.34-3.40
Zn4 0.8378 0.3378 0.5000  6 Sr 3.34-3.40

Output
Excess energy over the best structure of this formula in the dataset ... 0.070 eV/atom